# Be2CuIr (PBE, optimized geometry)
data_Be2CuIr
_chemical_formula_sum 'Be2 Cu1 Ir1'
_cell_length_a 3.838
_cell_length_b 3.838
_cell_length_c 2.836
_cell_angle_alpha 90.00
_cell_angle_beta 90.00
_cell_angle_gamma 90.00
_space_group_name_H-M_alt 'P 4/m m m'
_space_group_IT_number 123
_space_group_name_Hall '-P 4 2'
loop_
_atom_site_label
_atom_site_type_symbol
_atom_site_fract_x
_atom_site_fract_y
_atom_site_fract_z
_atom_site_occupancy
Be1 Be 0.000 0.500 0.000 1
Cu1 Cu 0.000 0.000 0.500 1
Ir1 Ir 0.500 0.500 0.500 1
# Crystal system: tetragonal
# Energy relative to the elements, eV per atom: -0.44
# Energy above the lowest structure with this stoichiometry, meV/atom: 0.0

# Be2CuIr (PBE, optimized geometry)
data_Be2CuIr
_chemical_formula_sum 'Be8 Cu4 Ir4'
_cell_length_a 5.505
_cell_length_b 5.505
_cell_length_c 5.505
_cell_angle_alpha 90.00
_cell_angle_beta 90.00
_cell_angle_gamma 90.00
_space_group_name_H-M_alt 'F m -3 m'
_space_group_IT_number 225
_space_group_name_Hall '-F 4 2 3'
loop_
_atom_site_label
_atom_site_type_symbol
_atom_site_fract_x
_atom_site_fract_y
_atom_site_fract_z
_atom_site_occupancy
Be1 Be 0.250 0.250 0.250 1
Cu1 Cu 0.000 0.000 0.000 1
Ir1 Ir 0.000 0.000 0.500 1
# Crystal system: cubic
# Energy relative to the elements, eV per atom: -0.40
# Energy above the lowest structure with this stoichiometry, meV/atom: 34.1

# Be2CuIr (PBE, optimized geometry)
data_Be2CuIr
_chemical_formula_sum 'Be4 Cu2 Ir2'
_cell_length_a 8.403
_cell_length_b 2.784
_cell_length_c 3.872
_cell_angle_alpha 90.00
_cell_angle_beta 108.43
_cell_angle_gamma 90.00
_space_group_name_H-M_alt 'C 1 m 1'
_space_group_IT_number 8
loop_
_space_group_symop_operation_xyz
'x,y,z'
'x,-y,z'
'x+1/2,y+1/2,z'
'x+1/2,-y+1/2,z'
loop_
_atom_site_label
_atom_site_type_symbol
_atom_site_fract_x
_atom_site_fract_y
_atom_site_fract_z
_atom_site_occupancy
Be1 Be 0.000 0.000 0.000 1
Be2 Be 0.242 0.500 0.326 1
Cu1 Cu 0.487 0.000 0.487 1
Ir1 Ir 0.259 0.000 0.842 1
# Crystal system: monoclinic
# Energy relative to the elements, eV per atom: -0.30
# Energy above the lowest structure with this stoichiometry, meV/atom: 138.5

# Be3CuIr (PBE, optimized geometry)
data_Be3CuIr
_chemical_formula_sum 'Be3 Cu1 Ir1'
_cell_length_a 4.180
_cell_length_b 4.180
_cell_length_c 4.180
_cell_angle_alpha 90.00
_cell_angle_beta 90.00
_cell_angle_gamma 90.00
_space_group_name_H-M_alt 'P m -3 m'
_space_group_IT_number 221
_space_group_name_Hall '-P 4 2 3'
loop_
_atom_site_label
_atom_site_type_symbol
_atom_site_fract_x
_atom_site_fract_y
_atom_site_fract_z
_atom_site_occupancy
Be1 Be 0.000 0.000 0.500 1
Cu1 Cu 0.500 0.500 0.500 1
Ir1 Ir 0.000 0.000 0.000 1
# Crystal system: cubic
# Energy relative to the elements, eV per atom: 0.49
# Energy above the lowest structure with this stoichiometry, meV/atom: 0.0

# BeCuIr2 (PBE, optimized geometry)
data_BeCuIr2
_chemical_formula_sum 'Be1 Cu1 Ir2'
_cell_length_a 2.761
_cell_length_b 2.761
_cell_length_c 6.410
_cell_angle_alpha 90.00
_cell_angle_beta 90.00
_cell_angle_gamma 90.00
_space_group_name_H-M_alt 'P 4 m m'
_space_group_IT_number 99
loop_
_space_group_symop_operation_xyz
'x,y,z'
'-y,x,z'
'-x,-y,z'
'y,-x,z'
'-x,y,z'
'y,x,z'
'x,-y,z'
'-y,-x,z'
loop_
_atom_site_label
_atom_site_type_symbol
_atom_site_fract_x
_atom_site_fract_y
_atom_site_fract_z
_atom_site_occupancy
Be1 Be 0.000 0.000 0.000 1
Cu1 Cu 0.500 0.500 0.204 1
Ir1 Ir 0.000 0.000 0.486 1
Ir2 Ir 0.500 0.500 0.782 1
# Crystal system: tetragonal
# Energy relative to the elements, eV per atom: -0.14

# BeCuIr3 (PBE, optimized geometry)
data_BeCuIr3
_chemical_formula_sum 'Be1 Cu1 Ir3'
_cell_length_a 4.442
_cell_length_b 4.442
_cell_length_c 4.442
_cell_angle_alpha 90.00
_cell_angle_beta 90.00
_cell_angle_gamma 90.00
_space_group_name_H-M_alt 'P m -3 m'
_space_group_IT_number 221
_space_group_name_Hall '-P 4 2 3'
loop_
_atom_site_label
_atom_site_type_symbol
_atom_site_fract_x
_atom_site_fract_y
_atom_site_fract_z
_atom_site_occupancy
Be1 Be 0.000 0.000 0.000 1
Cu1 Cu 0.500 0.500 0.500 1
Ir1 Ir 0.000 0.500 0.500 1
# Crystal system: cubic
# Energy relative to the elements, eV per atom: 1.82
# Energy above the lowest structure with this stoichiometry, meV/atom: 1285.7

# Be2CuIr (PBE, optimized geometry)
data_Be2CuIr
_chemical_formula_sum 'Be2 Cu1 Ir1'
_cell_length_a 2.801
_cell_length_b 3.612
_cell_length_c 4.410
_cell_angle_alpha 90.00
_cell_angle_beta 108.29
_cell_angle_gamma 90.00
_space_group_name_H-M_alt 'P 1 m 1'
_space_group_IT_number 6
loop_
_space_group_symop_operation_xyz
'x,y,z'
'x,-y,z'
loop_
_atom_site_label
_atom_site_type_symbol
_atom_site_fract_x
_atom_site_fract_y
_atom_site_fract_z
_atom_site_occupancy
Be1 Be 0.000 0.000 0.000 1
Be2 Be 0.153 0.500 0.311 1
Cu1 Cu 0.727 0.000 0.459 1
Ir1 Ir 0.432 0.500 0.864 1
# Crystal system: monoclinic
# Energy relative to the elements, eV per atom: -0.32
# Energy above the lowest structure with this stoichiometry, meV/atom: 116.0

# Be3CuIr (PBE, optimized geometry)
data_Be3CuIr
_chemical_formula_sum 'Be3 Cu1 Ir1'
_cell_length_a 3.872
_cell_length_b 3.872
_cell_length_c 3.872
_cell_angle_alpha 90.00
_cell_angle_beta 90.00
_cell_angle_gamma 90.00
_space_group_name_H-M_alt 'P m -3 m'
_space_group_IT_number 221
_space_group_name_Hall '-P 4 2 3'
loop_
_atom_site_label
_atom_site_type_symbol
_atom_site_fract_x
_atom_site_fract_y
_atom_site_fract_z
_atom_site_occupancy
Be1 Be 0.000 0.000 0.500 1
Cu1 Cu 0.000 0.000 0.000 1
Ir1 Ir 0.500 0.500 0.500 1
# Crystal system: cubic
# Energy relative to the elements, eV per atom: 0.61
# Energy above the lowest structure with this stoichiometry, meV/atom: 119.9

# Be2CuIr (PBE, optimized geometry)
data_Be2CuIr
_chemical_formula_sum 'Be4 Cu2 Ir2'
_cell_length_a 2.819
_cell_length_b 4.417
_cell_length_c 7.296
_cell_angle_alpha 90.00
_cell_angle_beta 90.00
_cell_angle_gamma 90.00
_space_group_name_H-M_alt 'C m m m'
_space_group_IT_number 65
_space_group_name_Hall '-C 2 2'
loop_
_atom_site_label
_atom_site_type_symbol
_atom_site_fract_x
_atom_site_fract_y
_atom_site_fract_z
_atom_site_occupancy
Be1 Be 0.000 0.000 0.249 1
Cu1 Cu 0.000 0.500 0.000 1
Ir1 Ir 0.000 0.500 0.500 1
# Crystal system: orthorhombic
# Energy relative to the elements, eV per atom: -0.06
# Energy above the lowest structure with this stoichiometry, meV/atom: 377.0

# Be2CuIr (PBE, optimized geometry)
data_Be2CuIr
_chemical_formula_sum 'Be4 Cu2 Ir2'
_cell_length_a 2.857
_cell_length_b 3.714
_cell_length_c 8.052
_cell_angle_alpha 90.00
_cell_angle_beta 90.00
_cell_angle_gamma 90.00
_space_group_name_H-M_alt 'I m m 2'
_space_group_IT_number 44
loop_
_space_group_symop_operation_xyz
'x,y,z'
'-x,-y,z'
'-x,y,z'
'x,-y,z'
'x+1/2,y+1/2,z+1/2'
'-x+1/2,-y+1/2,z+1/2'
'-x+1/2,y+1/2,z+1/2'
'x+1/2,-y+1/2,z+1/2'
loop_
_atom_site_label
_atom_site_type_symbol
_atom_site_fract_x
_atom_site_fract_y
_atom_site_fract_z
_atom_site_occupancy
Be1 Be 0.000 0.000 0.000 1
Be2 Be 0.000 0.500 0.259 1
Cu1 Cu 0.000 0.500 0.744 1
Ir1 Ir 0.000 0.000 0.514 1
# Crystal system: orthorhombic
# Energy relative to the elements, eV per atom: -0.29
# Energy above the lowest structure with this stoichiometry, meV/atom: 146.1

# BeCuIr3 (PBE, optimized geometry)
data_BeCuIr3
_chemical_formula_sum 'Be1 Cu1 Ir3'
_cell_length_a 4.111
_cell_length_b 4.111
_cell_length_c 4.111
_cell_angle_alpha 90.00
_cell_angle_beta 90.00
_cell_angle_gamma 90.00
_space_group_name_H-M_alt 'P m -3 m'
_space_group_IT_number 221
_space_group_name_Hall '-P 4 2 3'
loop_
_atom_site_label
_atom_site_type_symbol
_atom_site_fract_x
_atom_site_fract_y
_atom_site_fract_z
_atom_site_occupancy
Be1 Be 0.000 0.000 0.000 1
Cu1 Cu 0.500 0.500 0.500 1
Ir1 Ir 0.000 0.000 0.500 1
# Crystal system: cubic
# Energy relative to the elements, eV per atom: 0.54
# Energy above the lowest structure with this stoichiometry, meV/atom: 0.0

# Be2CuIr2 (PBE, optimized geometry)
data_Be2CuIr2
_chemical_formula_sum 'Be4 Cu2 Ir4'
_cell_length_a 6.190
_cell_length_b 6.190
_cell_length_c 2.935
_cell_angle_alpha 90.00
_cell_angle_beta 90.00
_cell_angle_gamma 90.00
_space_group_name_H-M_alt 'P 4/m b m'
_space_group_IT_number 127
_space_group_name_Hall '-P 4 2ab'
loop_
_atom_site_label
_atom_site_type_symbol
_atom_site_fract_x
_atom_site_fract_y
_atom_site_fract_z
_atom_site_occupancy
Be1 Be 0.129 0.371 0.000 1
Cu1 Cu 0.000 0.000 0.000 1
Ir1 Ir 0.166 0.666 0.500 1
# Crystal system: tetragonal
# Energy relative to the elements, eV per atom: -0.34
# Energy above the lowest structure with this stoichiometry, meV/atom: 0.0

Calculated calculated volume, 10.446; 10.426; 10.743; 14.605; 12.212; 17.528; 10.591; 11.609; 11.357; 10.681; 13.893; 11.246 Å³/atom (same order as the records).